The following is a DFT calculation (PBE) of a relaxed LiAcHg2 crystal.

Calculated values
Calculated formation energy = -0.419 eV/atom
Relative energy among the computed polymorphs = 0 meV/atom
DOS(E_F) = 10.15 states/eV/cell

Lattice parameters (Å, degrees): 5.0135 5.0135 15.1180 90.00 90.00 120.00
Space group R-3m (No. 166, hexagonal axes)
Unique sites:
1 Li 0.0000 0.0000 0.0000 [3 per cell]
2 Ac 0.0000 0.0000 0.5000 [3 per cell]
3 Hg 0.0000 0.0000 0.2792 [6 per cell]